Record 1
An optimized crystal structure of PmCrSb2. Source: Alexandria, functional PBE.

Cell: 4.140 4.920 4.920 Å, 90.00 90.00 90.00°
Fractional coordinates of all 4 atoms:
Cr (0.500, 0.500, 0.500)
Pm (0.500, 0.000, 0.000)
Sb (0.000, 0.000, 0.500)
Sb (0.000, 0.500, 0.000)

formation energy from raw total energies = -259 meV/atom
polymorph energy (0 for the lowest one) = 0.0000 eV/atom
N(E_F) = 1.9 states/eV/cell
SG = P4/mmm, No. 123

Record 2
An optimized crystal structure of SrLa5Sb4. Source: Alexandria, functional PBE.

Cell: 4.543 9.169 10.187 Å, 104.98 102.88 90.00°
Fractional coordinates of all 10 atoms:
Sb (0.992, 0.736, 0.984)
Sb (0.328, 0.912, 0.655)
Sb (0.008, 0.264, 0.016)
Sb (0.672, 0.088, 0.345)
La (0.162, 0.834, 0.323)
La (0.172, 0.334, 0.345)
La (0.828, 0.666, 0.655)
La (0.500, 0.500, 0.000)
La (0.838, 0.166, 0.677)
Sr (0.500, 0.000, 0.000)

formation energy from raw total energies = -816 meV/atom
N(E_F) = 8.5 states/eV/cell
SG = C2/m, No. 12